Here is a PBEsol-optimized structure of Mn6O5F7 from Alexandria. Energies are from SCAN.

abc: 4.6339 4.6552 9.2508
angles: 90.00 90.00 94.25
Site moments in Bohr magnetons follow the coordinates.
Sites, in units of the cell vectors:
Mn1 0.0194 0.0075 0.0000  4.00
Mn2 0.9871 0.9720 0.3407  3.93
Mn3 0.5206 0.5088 0.8426  3.94
Mn4 0.5206 0.5088 0.1574  3.94
Mn5 0.9871 0.9720 0.6593  3.93
Mn6 0.4894 0.5452 0.5000  4.07
O1 0.6817 0.6927 0.3274  -0.02
O2 0.6817 0.6927 0.6726  -0.02
O3 0.3227 0.3073 0.0000  0.02
O4 0.1714 0.8073 0.5000  -0.01
O5 0.7213 0.7025 0.0000  0.02
F1 0.2049 0.8038 0.1660  0.10
F2 0.2900 0.2954 0.3287  0.04
F3 0.8171 0.1835 0.8232  0.06
F4 0.2049 0.8038 0.8340  0.10
F5 0.2900 0.2954 0.6713  0.04
F6 0.8171 0.1835 0.1768  0.06
F7 0.7728 0.2178 0.5000  0.09

raw formation energy: -2523 meV per atom
DFT total energy: -11.7155 eV/atom
excess energy over the best structure of this formula in the dataset: 6 meV per atom
volume: 11.06 A^3/atom

=====

Here is a PBEsol-optimized structure of Mn6O5F7 from Alexandria. Energies are from SCAN.

abc: 5.5946 5.5946 7.1702
angles: 72.96 72.96 73.04
Site moments in Bohr magnetons follow the coordinates.
Sites, in units of the cell vectors:
Mn1 0.3388 0.3388 0.6697  4.05
Mn2 0.0089 0.0089 0.9991  4.21
Mn3 0.3302 0.3302 0.1647  4.20
Mn4 0.6480 0.6480 0.3136  4.14
Mn5 0.9799 0.9799 0.5140  3.83
Mn6 0.6950 0.6950 0.8306  3.40
O1 0.7774 0.7774 0.0324  -0.03
O2 0.2345 0.2345 0.9637  0.00
O3 0.6453 0.0276 0.6718  0.01
O4 0.0276 0.6453 0.6718  0.01
O5 0.4252 0.4252 0.3724  -0.01
F1 0.7045 0.3300 0.9887  0.06
F2 0.8801 0.8801 0.3002  0.07
F3 0.9569 0.3317 0.3458  0.06
F4 0.3317 0.9569 0.3458  0.06
F5 0.3300 0.7045 0.9887  0.06
F6 0.1052 0.1052 0.6981  0.10
F7 0.5804 0.5804 0.6290  0.05

raw formation energy: -2489 meV per atom
DFT total energy: -11.6819 eV/atom
excess energy over the best structure of this formula in the dataset: 39 meV per atom
volume: 11.10 A^3/atom

=====

Here is a PBEsol-optimized structure of Mn6OF11 from Alexandria. Energies are from SCAN.

abc: 4.8027 4.8027 9.7705
angles: 90.00 90.00 91.22
Site moments in Bohr magnetons follow the coordinates.
Sites, in units of the cell vectors:
F1 0.6904 0.2970 0.6651  0.07
F2 0.8150 0.8150 0.8237  0.07
F3 0.2970 0.6904 0.6651  0.07
F4 0.8150 0.8150 0.1763  0.07
F5 0.7045 0.3156 0.0000  0.08
F6 0.3156 0.7045 0.0000  0.08
F7 0.1991 0.1991 0.8327  0.09
F8 0.7780 0.7780 0.5000  0.07
F9 0.1991 0.1991 0.1673  0.09
F10 0.2970 0.6904 0.3349  0.07
F11 0.6904 0.2970 0.3349  0.07
Mn1 0.5063 0.5063 0.1690  4.63
Mn2 0.0023 0.0023 0.0000  4.65
Mn3 0.5063 0.5063 0.8310  4.63
Mn4 0.4730 0.4730 0.5000  4.29
Mn5 0.0099 0.0099 0.6549  4.45
Mn6 0.0099 0.0099 0.3451  4.45
O1 0.1913 0.1913 0.5000  0.02

raw formation energy: -2795 meV per atom
DFT total energy: -11.3900 eV/atom
excess energy over the best structure of this formula in the dataset: 1 meV per atom
volume: 12.52 A^3/atom

=====

Here is a PBEsol-optimized structure of Mn2OF3 from Alexandria. Energies are from SCAN.

abc: 3.1145 4.9448 10.0619
angles: 90.00 90.00 90.00
Site moments in Bohr magnetons follow the coordinates.
Sites, in units of the cell vectors:
F1 0.0000 0.5824 0.5274  0.04
F2 0.5000 0.4086 0.7693  0.08
F3 0.0000 0.4176 0.0274  0.04
F4 0.5000 0.9825 0.4615  0.10
F5 0.5000 0.5914 0.2693  0.08
F6 0.5000 0.0175 0.9615  0.10
Mn1 0.0000 0.8122 0.3549  4.29
Mn2 0.0000 0.1878 0.8549  4.29
Mn3 0.5000 0.7533 0.6440  4.21
Mn4 0.5000 0.2467 0.1440  4.21
O1 0.0000 0.0842 0.2232  -0.01
O2 0.0000 0.9158 0.7232  -0.01

raw formation energy: -2593 meV per atom
DFT total energy: -11.4862 eV/atom
excess energy over the best structure of this formula in the dataset: 73 meV per atom
volume: 12.91 A^3/atom

=====

Here is a PBEsol-optimized structure of Mn6O5F7 from Alexandria. Energies are from SCAN.

abc: 4.7281 4.7281 9.0912
angles: 90.00 90.00 97.47
Site moments in Bohr magnetons follow the coordinates.
Sites, in units of the cell vectors:
O1 0.7035 0.7035 0.8365  0.01
O2 0.6805 0.6805 0.5000  -0.03
O3 0.7035 0.7035 0.1635  0.01
O4 0.3083 0.3083 0.1648  0.02
O5 0.3083 0.3083 0.8352  0.02
F1 0.1900 0.8044 0.6647  0.09
F2 0.8144 0.1971 0.0000  0.09
F3 0.8044 0.1900 0.6647  0.09
F4 0.1971 0.8144 0.0000  0.09
F5 0.1900 0.8044 0.3353  0.09
F6 0.8044 0.1900 0.3353  0.09
F7 0.2905 0.2905 0.5000  0.01
Mn1 0.5074 0.5074 0.6766  3.97
Mn2 0.0057 0.0057 0.1653  3.92
Mn3 0.0057 0.0057 0.8347  3.92
Mn4 0.5074 0.5074 0.3234  3.97
Mn5 0.5050 0.5050 0.0000  3.85
Mn6 0.9740 0.9740 0.5000  4.06

raw formation energy: -2528 meV per atom
DFT total energy: -11.7205 eV/atom
excess energy over the best structure of this formula in the dataset: 1 meV per atom
volume: 11.19 A^3/atom

=====

Here is a PBEsol-optimized structure of Mn6OF11 from Alexandria. Energies are from SCAN.

abc: 5.7949 5.7949 7.6004
angles: 73.06 73.06 70.83
Site moments in Bohr magnetons follow the coordinates.
Sites, in units of the cell vectors:
F1 0.5742 0.5582 0.6291  0.08
F2 0.0959 0.1043 0.7029  0.08
F3 0.7640 0.7782 0.0323  0.07
F4 0.0332 0.6337 0.6659  0.09
F5 0.8957 0.9041 0.2971  0.08
F6 0.3663 0.9668 0.3341  0.09
F7 0.9932 0.3641 0.3242  0.07
F8 0.4418 0.4258 0.3709  0.08
F9 0.6359 0.0068 0.6758  0.07
F10 0.2786 0.7214 0.0000  0.07
F11 0.2218 0.2360 0.9677  0.07
Mn1 0.3549 0.3330 0.1560  4.45
Mn2 0.3394 0.3257 0.6692  4.63
Mn3 0.9726 0.0274 0.0000  4.31
Mn4 0.0015 0.9985 0.5000  4.64
Mn5 0.6743 0.6606 0.3308  4.63
Mn6 0.6670 0.6451 0.8440  4.45
O1 0.6897 0.3103 0.0000  0.02

raw formation energy: -2797 meV per atom
DFT total energy: -11.3914 eV/atom
excess energy over the best structure of this formula in the dataset: 0 meV per atom
volume: 12.51 A^3/atom

=====

Here is a PBEsol-optimized structure of Mn2OF3 from Alexandria. Energies are from SCAN.

abc: 4.7485 6.0543 6.0543
angles: 120.00 90.00 90.00
Site moments in Bohr magnetons follow the coordinates.
Sites, in units of the cell vectors:
F1 0.2553 0.6765 0.8383  0.07
F2 0.7447 0.8383 0.6765  0.07
F3 0.2553 0.1617 0.3235  0.07
F4 0.2553 0.1617 0.8383  0.07
F5 0.7447 0.8383 0.1617  0.07
F6 0.7447 0.3235 0.1617  0.07
Mn1 0.0000 0.0000 0.0000  4.59
Mn2 0.5000 0.5000 0.5000  4.13
Mn3 0.5000 0.5000 0.0000  4.13
Mn4 0.5000 0.0000 0.5000  4.13
O1 0.3435 0.6667 0.3333  0.00
O2 0.6565 0.3333 0.6667  0.00

raw formation energy: -2620 meV per atom
DFT total energy: -11.5138 eV/atom
excess energy over the best structure of this formula in the dataset: 45 meV per atom
volume: 12.56 A^3/atom

=====

Here is a PBEsol-optimized structure of Mn6O7F5 from Alexandria. Energies are from SCAN.

abc: 4.5709 4.5709 8.9829
angles: 90.18 90.18 86.55
Site moments in Bohr magnetons follow the coordinates.
Sites, in units of the cell vectors:
O1 0.2972 0.6785 0.1670  0.03
O2 0.7123 0.3106 0.8334  0.01
O3 0.6894 0.2877 0.1666  0.01
O4 0.8120 0.8169 0.6618  0.01
O5 0.6812 0.3188 0.5000  0.02
O6 0.1831 0.1880 0.3382  0.01
O7 0.3215 0.7028 0.8330  0.03
Mn1 0.5050 0.4950 0.0000  3.76
Mn2 0.0136 0.0032 0.1756  3.81
Mn3 0.9763 0.0237 0.5000  3.78
Mn4 0.4804 0.4665 0.3253  3.40
Mn5 0.5335 0.5196 0.6747  3.40
Mn6 0.9968 0.9864 0.8244  3.81
F1 0.2927 0.7073 0.5000  0.03
F2 0.8141 0.8043 0.0106  0.07
F3 0.1957 0.1859 0.9894  0.07
F4 0.2200 0.2248 0.6638  0.08
F5 0.7752 0.7800 0.3362  0.08

raw formation energy: -2384 meV per atom
DFT total energy: -11.8759 eV/atom
excess energy over the best structure of this formula in the dataset: 18 meV per atom
volume: 10.41 A^3/atom

=====

Here is a PBEsol-optimized structure of Mn3O4F2 from Alexandria. Energies are from SCAN.

abc: 4.5333 4.5333 8.9335
angles: 90.00 90.00 90.00
Site moments in Bohr magnetons follow the coordinates.
Sites, in units of the cell vectors:
Mn1 0.5000 0.5000 0.5000  3.75
Mn2 0.0000 0.0000 0.3169  3.42
Mn3 0.5000 0.5000 0.1831  3.42
Mn4 0.5000 0.5000 0.8169  3.42
Mn5 0.0000 0.0000 0.0000  3.75
Mn6 0.0000 0.0000 0.6831  3.42
O1 0.1961 0.8039 0.1643  0.01
O2 0.6961 0.6961 0.3358  0.01
O3 0.6961 0.6961 0.6642  0.01
O4 0.8039 0.1961 0.1643  0.01
O5 0.8039 0.1961 0.8357  0.01
O6 0.3039 0.3039 0.6642  0.01
O7 0.1961 0.8039 0.8357  0.01
O8 0.3039 0.3039 0.3358  0.01
F1 0.3151 0.3151 0.0000  0.04
F2 0.8151 0.1849 0.5000  0.04
F3 0.1849 0.8151 0.5000  0.04
F4 0.6849 0.6849 0.0000  0.04

raw formation energy: -2300 meV per atom
DFT total energy: -11.9412 eV/atom
excess energy over the best structure of this formula in the dataset: 34 meV per atom
volume: 10.20 A^3/atom

=====

Here is a PBEsol-optimized structure of Mn3O4F2 from Alexandria. Energies are from SCAN.

abc: 4.4993 4.5250 8.9788
angles: 90.00 90.00 90.00
Site moments in Bohr magnetons follow the coordinates.
Sites, in units of the cell vectors:
F1 0.7012 0.9553 0.1699  0.04
F2 0.2012 0.0447 0.3301  0.04
F3 0.2012 0.0447 0.6699  0.04
F4 0.7012 0.9553 0.8301  0.04
Mn1 0.4733 0.7448 0.0000  3.72
Mn2 0.5049 0.7194 0.6591  3.45
Mn3 0.5049 0.7194 0.3409  3.45
Mn4 0.0049 0.2806 0.1591  3.45
Mn5 0.0049 0.2806 0.8409  3.45
Mn6 0.9733 0.2552 0.5000  3.72
O1 0.8090 0.4380 0.6716  0.00
O2 0.8020 0.4635 0.0000  -0.02
O3 0.3090 0.5620 0.1716  0.00
O4 0.3090 0.5620 0.8284  0.00
O5 0.1944 0.0705 0.0000  0.05
O6 0.8090 0.4380 0.3284  0.00
O7 0.6944 0.9295 0.5000  0.05
O8 0.3020 0.5365 0.5000  -0.02

raw formation energy: -2314 meV per atom
DFT total energy: -11.9552 eV/atom
excess energy over the best structure of this formula in the dataset: 20 meV per atom
volume: 10.16 A^3/atom

=====

Here is a PBEsol-optimized structure of Mn3O4F2 from Alexandria. Energies are from SCAN.

abc: 5.4433 5.4433 7.4544
angles: 95.14 112.53 110.65
Site moments in Bohr magnetons follow the coordinates.
Sites, in units of the cell vectors:
Mn1 0.5200 0.3264 0.8463  3.40
Mn2 0.5160 0.6614 0.1774  3.42
Mn3 0.9981 0.6597 0.6578  3.71
Mn4 0.9887 0.0092 0.9979  3.77
Mn5 0.4936 0.0025 0.4961  3.60
Mn6 0.9749 0.3428 0.3177  3.17
O1 0.8085 0.5632 0.3718  -0.01
O2 0.3017 0.6378 0.3323  0.05
O3 0.3048 0.3049 0.0009  0.02
O4 0.6945 0.0306 0.3323  0.05
O5 0.7038 0.3596 0.6707  0.03
O6 0.6960 0.6961 0.0009  0.02
O7 0.3111 0.9669 0.6707  0.03
O8 0.8063 0.2349 0.0412  -0.03
F1 0.2006 0.4234 0.6240  0.05
F2 0.1898 0.7714 0.9612  0.04
F3 0.8002 0.8956 0.6958  0.08
F4 0.1912 0.1137 0.3048  0.06

raw formation energy: -2320 meV per atom
DFT total energy: -11.9613 eV/atom
excess energy over the best structure of this formula in the dataset: 14 meV per atom
volume: 10.24 A^3/atom

=====

Here is a PBEsol-optimized structure of Mn3O4F2 from Alexandria. Energies are from SCAN.

abc: 4.4648 4.4648 8.5602
angles: 89.81 89.81 89.99
Site moments in Bohr magnetons follow the coordinates.
Sites, in units of the cell vectors:
O1 0.1941 0.8044 0.3221  0.07
O2 0.2115 0.7885 0.0000  0.10
O3 0.6958 0.6899 0.1658  0.11
O4 0.2961 0.3094 0.5009  0.10
O5 0.6906 0.7039 0.4991  0.10
O6 0.3101 0.3042 0.8342  0.11
O7 0.1956 0.8059 0.6779  0.07
O8 0.8048 0.1952 0.0000  0.14
Mn1 0.0414 0.0152 0.8496  2.22
Mn2 0.4878 0.5313 0.3392  2.24
Mn3 0.5113 0.4887 0.0000  1.91
Mn4 0.4687 0.5122 0.6608  2.24
Mn5 0.0173 0.9827 0.5000  -3.79
Mn6 0.9848 0.9586 0.1504  2.22
F1 0.7886 0.2003 0.3239  -0.01
F2 0.2941 0.2923 0.1642  0.01
F3 0.7997 0.2114 0.6761  -0.01
F4 0.7077 0.7059 0.8358  0.01

raw formation energy: -2246 meV per atom
DFT total energy: -11.8868 eV/atom
excess energy over the best structure of this formula in the dataset: 89 meV per atom
volume: 9.48 A^3/atom

=====

Here is a PBEsol-optimized structure of Mn2O3F from Alexandria. Energies are from SCAN.

abc: 4.4927 5.8826 9.4493
angles: 71.90 88.77 89.97
Site moments in Bohr magnetons follow the coordinates.
Sites, in units of the cell vectors:
O1 0.1824 0.2030 0.0920  0.03
O2 0.1969 0.9525 0.5954  0.01
O3 0.7053 0.6753 0.6517  0.01
O4 0.6977 0.1735 0.6560  0.04
O5 0.8073 0.8006 0.9019  0.01
O6 0.6885 0.4255 0.1518  0.04
O7 0.8112 0.5454 0.4086  0.01
O8 0.3013 0.3266 0.3458  0.05
O9 0.3038 0.8276 0.3442  0.04
O10 0.3134 0.5781 0.8461  0.04
O11 0.6832 0.9209 0.1537  0.03
O12 0.8057 0.2988 0.9023  -0.01
Mn1 0.5217 0.6150 0.2633  3.09
Mn2 0.0108 0.7546 0.4975  3.69
Mn3 0.9900 0.5006 0.9943  3.36
Mn4 0.4688 0.1339 0.2371  3.09
Mn5 0.5102 0.8716 0.7439  3.20
Mn6 0.5322 0.3824 0.7542  3.28
Mn7 0.9671 0.9995 0.0049  3.42
Mn8 0.0032 0.2460 0.5010  3.69
F1 0.7811 0.0541 0.3908  0.07
F2 0.3018 0.0722 0.8526  0.02
F3 0.2174 0.4440 0.6084  0.08
F4 0.1991 0.6981 0.1025  0.04

raw formation energy: -2253 meV per atom
DFT total energy: -12.0441 eV/atom
excess energy over the best structure of this formula in the dataset: 20 meV per atom
volume: 9.89 A^3/atom

=====

Here is a PBEsol-optimized structure of Mn4O7F from Alexandria. Energies are from SCAN.

abc: 5.3675 6.4758 6.5135
angles: 96.01 90.97 90.54
Site moments in Bohr magnetons follow the coordinates.
Sites, in units of the cell vectors:
O1 0.6152 0.3408 0.9226  0.04
O2 0.8826 0.5826 0.6558  0.06
O3 0.6129 0.8456 0.4286  0.04
O4 0.8859 0.6769 0.0933  0.07
O5 0.3851 0.5898 0.6716  0.06
O6 0.1195 0.9210 0.8433  0.05
O7 0.3920 0.6521 0.0755  0.04
O8 0.1108 0.3295 0.9063  0.08
O9 0.6128 0.4088 0.3286  0.06
O10 0.3854 0.0914 0.1769  0.07
O11 0.8840 0.1752 0.5930  0.05
O12 0.1177 0.8290 0.4047  0.05
O13 0.6154 0.9058 0.8277  0.07
O14 0.1090 0.4243 0.3453  0.06
Mn1 0.1674 0.8625 0.1191  3.10
Mn2 0.1277 0.3901 0.6295  2.89
Mn3 0.3546 0.3719 0.1263  3.03
Mn4 0.6476 0.1262 0.3757  3.63
Mn5 0.3536 0.8609 0.6266  2.95
Mn6 0.8568 0.1243 0.8611  3.00
Mn7 0.6506 0.6216 0.8771  3.01
Mn8 0.8520 0.6287 0.3706  2.92
F1 0.8941 0.0782 0.1507  0.05
F2 0.3674 0.1627 0.5899  0.05

raw formation energy: -2160 meV per atom
DFT total energy: -12.1754 eV/atom
excess energy over the best structure of this formula in the dataset: 21 meV per atom
volume: 9.38 A^3/atom

=====

Here is a PBEsol-optimized structure of Mn2O3F from Alexandria. Energies are from SCAN.

abc: 4.4971 4.4971 11.7345
angles: 90.00 90.00 92.84
Site moments in Bohr magnetons follow the coordinates.
Sites, in units of the cell vectors:
O1 0.3063 0.3063 0.0000  0.04
O2 0.3179 0.2892 0.2500  0.05
O3 0.1870 0.8130 0.6255  0.01
O4 0.1870 0.8130 0.8745  0.01
O5 0.7108 0.6821 0.2500  0.05
O6 0.8130 0.1870 0.3745  0.01
O7 0.6937 0.6937 0.5000  0.04
O8 0.6937 0.6937 0.0000  0.04
O9 0.3063 0.3063 0.5000  0.04
O10 0.6821 0.7108 0.7500  0.05
O11 0.8130 0.1870 0.1255  0.01
O12 0.2892 0.3179 0.7500  0.05
Mn1 0.9888 0.0112 0.2500  3.32
Mn2 0.4764 0.5236 0.6251  3.14
Mn3 0.5236 0.4764 0.3749  3.14
Mn4 0.0112 0.9888 0.7500  3.32
Mn5 0.4764 0.5236 0.8749  3.14
Mn6 0.0000 0.0000 0.5000  3.75
Mn7 0.0000 0.0000 0.0000  3.75
Mn8 0.5236 0.4764 0.1251  3.14
F1 0.2132 0.7868 0.3686  0.05
F2 0.7868 0.2132 0.8686  0.05
F3 0.7868 0.2132 0.6314  0.05
F4 0.2132 0.7868 0.1314  0.05

raw formation energy: -2262 meV per atom
DFT total energy: -12.0532 eV/atom
excess energy over the best structure of this formula in the dataset: 11 meV per atom
volume: 9.88 A^3/atom